# TlWN2

A relaxed TlWN2 crystal (PBE, the Alexandria database).

The structure in POSCAR format:
```
TlWN2
1.0
1.541 0.890 7.399
-1.541 0.890 7.399
0.000 -1.780 7.399
Tl W N
1 1 2
Cartesian
0.000 0.000 0.000 Tl
0.000 0.000 11.098 W
0.000 0.000 2.628 N
0.000 0.000 19.568 N
```

magnetic moment: 0.0 μB per cell
formation energy without anion corrections: 23 kJ/mol of formula units
Fermi-level density of states: 0.619 states/eV per atom
energy above the lowest structure with this stoichiometry: 0.1602 eV per atom
calculated volume: 61 Å³ per cell
E_tot: -7.932 eV per atom